A plane-wave DFT calculation with PBE+U was carried out for an optimized crystal structure of YVSbO6.

The calculation puts the electronic total energy at -7.52 eV/atom.

Cell: 5.2030 5.2030 9.8304 Å, 90.00 90.00 120.00°
Last column: nearest neighbours and their distance in Å.
Space group P-31c (No. 163)
One atom of each set of equivalent atoms:
1 Y 0.0000 0.0000 0.0000 [2 per cell]  6 O 2.32
2 V 0.3333 0.6667 0.2500 [2 per cell]  6 O 1.97
3 Sb 0.3333 0.6667 0.7500 [2 per cell]  6 O 2.01
4 O 0.0064 0.3625 0.1399 [12 per cell]  1 V 1.97, 1 Sb 2.01